(1)
Na2Ac8Co3: optimized geometry, PBE-GGA.

Lattice parameters (Å, degrees): 19.0524 8.3950 7.2638 90.00 106.58 90.00
Space group C2/m (No. 12)
Inequivalent atoms, fractional coordinates:
1 Na 0.2501 0.0000 0.1023
2 Ac 0.0803 0.2500 0.8886
3 Ac 0.0871 0.5000 0.3960
4 Ac 0.0948 0.0000 0.4272
5 Co 0.0000 0.2408 0.5000
6 Co 0.0000 0.5000 0.0000

Summary:
E	-4.303	eV/atom
volume	42.8	A^3/atom
Fermi-level density of states	20.58	states/eV/cell

***

(2)
Na3Np3SnSe8: optimized geometry, PBE-GGA.

Lattice parameters (Å, degrees): 14.5768 8.4353 8.4231 90.00 125.15 90.00
Space group C2/m (No. 12)
Inequivalent atoms, fractional coordinates:
1 Na 0.0000 0.0000 0.0000
2 Na 0.2500 0.2500 0.5000
3 Np 0.0000 0.5000 0.5000
4 Np 0.2500 0.2500 0.0000
5 Sn 0.0000 0.0000 0.5000
6 Se 0.0115 0.2591 0.7485
7 Se 0.2444 0.5000 0.7569
8 Se 0.2483 0.0000 0.7716

Summary:
ΔE_f (raw)	-1.110	eV per atom
E	-6.087	eV/atom
volume	28.2	A^3/atom
Fermi-level density of states	48.43	states/eV/cell